Entry 1:
A relaxed LiLaPrRh crystal, computed with GGA-PBE.

Properties
Symmetry: F-43m
E_form: -317 meV/atom

```
4
Lattice="0.0000 3.6524 3.6524 3.6524 0.0000 3.6524 3.6524 3.6524 0.0000" Properties=species:S:1:pos:R:3 pbc="T T T"
Li 0.0000 0.0000 0.0000
La 1.8262 1.8262 1.8262
Pr 5.4786 5.4786 5.4786
Rh 3.6524 3.6524 3.6524
```

---

Entry 2:
A relaxed LiLaPr2S5 crystal, computed with GGA-PBE.

Properties
Symmetry: Cmc2_1
Uncorrected formation energy: -1.911 eV per atom

```
18
Lattice="2.0389 -8.4242 0.0000 2.0389 8.4242 0.0000 0.0000 0.0000 12.1497" Properties=species:S:1:pos:R:3 pbc="T T T"
Li 2.0389 8.2515 6.0748
Li 2.0389 -8.2515 0.0000
La 2.0389 3.2963 0.1486
La 2.0389 -3.2963 6.2234
Pr 2.0389 2.0121 3.7808
Pr 2.0389 1.8603 8.4719
Pr 2.0389 -1.8603 2.3971
Pr 2.0389 -2.0121 9.8556
S 2.0389 8.3688 3.6577
S 2.0389 6.1432 0.1614
S 2.0389 5.1783 4.2215
S 2.0389 4.9372 8.2362
S 2.0389 0.7034 1.0653
S 2.0389 -0.7034 7.1401
S 2.0389 -4.9372 2.1614
S 2.0389 -5.1783 10.2963
S 2.0389 -6.1432 6.2362
S 2.0389 -8.3688 9.7325
```

---

Entry 3:
A relaxed LiLa2PrS5 crystal, computed with GGA-PBE.

Properties
Symmetry: Cmc2_1
Uncorrected formation energy: -1.969 eV per atom

```
18
Lattice="2.0497 -8.4310 0.0000 2.0497 8.4310 0.0000 0.0000 0.0000 12.1857" Properties=species:S:1:pos:R:3 pbc="T T T"
Li 2.0497 8.2425 6.0929
Li 2.0497 -8.2425 0.0000
La 2.0497 2.0324 3.8269
La 2.0497 1.8570 8.5204
La 2.0497 -1.8570 2.4276
La 2.0497 -2.0324 9.9198
Pr 2.0497 3.3052 0.1859
Pr 2.0497 -3.3052 6.2788
S 2.0497 8.3991 3.6777
S 2.0497 6.1374 0.1994
S 2.0497 5.1763 4.3148
S 2.0497 4.9188 8.2734
S 2.0497 0.7059 1.0627
S 2.0497 -0.7059 7.1556
S 2.0497 -4.9188 2.1805
S 2.0497 -5.1763 10.4077
S 2.0497 -6.1374 6.2923
S 2.0497 -8.3991 9.7705
```

---

Entry 4:
A relaxed LiLa3Pr2S6 crystal, computed with GGA-PBE.

Properties
Symmetry: C2/m
Uncorrected formation energy: -2.009 eV per atom

```
12
Lattice="3.5576 -6.1795 0.0000 3.5576 6.1795 0.0000 -2.3879 0.0000 6.6501" Properties=species:S:1:pos:R:3 pbc="T T T"
Li 0.0000 0.0000 0.0000
La 2.3636 4.1204 3.3251
La 2.3636 0.0000 3.3251
La 2.3636 -4.1204 3.3251
Pr 3.5576 2.0525 0.0000
Pr 3.5576 -2.0525 0.0000
S 1.1464 2.0016 1.6110
S -0.0885 0.0000 5.0465
S 1.1464 -2.0016 1.6110
S 3.5808 2.0016 5.0391
S 4.8157 0.0000 1.6036
S 3.5808 -2.0016 5.0391
```

---

The electronic total energy results, record by record, are as follows: -20.239 -108.464 -109.810 -75.132 eV/cell.